Arrangement 1

Computed, not measured: a relaxed LaGd2Pb crystal at the PBE level of DFT.

abc: 4.0999 4.0999 7.4962
angles: 90.00 90.00 90.00
Space group P4/mmm (No. 123)
Unique sites:
La  0.0000  0.0000  0.0000 [1 per cell]
Gd  0.5000  0.5000  0.2821 [2 per cell]
Pb  0.0000  0.0000  0.5000 [1 per cell]

Theoretical density (Mg/m³): 8.7
DOS at the Fermi energy (states/eV/cell): 5.56



Arrangement 2

Computed, not measured: a relaxed LaGd2Pb crystal at the PBE level of DFT.

abc: 4.9954 4.9954 4.9007
angles: 90.00 90.00 90.00
Space group P4/mmm (No. 123)
Unique sites:
La  0.0000  0.0000  0.0000 [1 per cell]
Gd  0.0000  0.5000  0.5000 [2 per cell]
Pb  0.5000  0.5000  0.0000 [1 per cell]

Theoretical density (Mg/m³): 9.0
DOS at the Fermi energy (states/eV/cell): 4.40



Ordering by calculated energy gives the sequence arrangement 2, arrangement 1, with the first entry being the most stable.